[1]
Entry from OQMD via LeMat-Bulk: crystalline AlFePb2 at its relaxed geometry (PBE).

Cell: 4.973 4.973 4.973 Å, 60.00 60.00 60.00°
Fractional coordinates of all 4 atoms:
Al  0.000  0.000  0.000
Fe  0.250  0.250  0.250
Pb  0.500  0.500  0.500
Pb  0.750  0.750  0.750

Calculated values
DFT total energy, eV/atom: -4.212
Space-group type: F-43m (216)

[2]
Entry from OQMD via LeMat-Bulk: crystalline LaPrP2Pt2O2 at its relaxed geometry (PBE).

Cell: 4.184 4.184 8.124 Å, 90.00 90.00 90.00°
Fractional coordinates of all 8 atoms:
La  0.000  0.000  0.000
Pr  0.500  0.500  0.716
P  0.000  0.000  0.510
P  0.500  0.500  0.213
Pt  0.000  0.500  0.362
Pt  0.500  0.000  0.362
O  0.000  0.500  0.858
O  0.500  0.000  0.858

Calculated values
DFT total energy, eV/atom: -7.201
Space-group type: P4mm (99)

[3]
Entry from OQMD via LeMat-Bulk: crystalline Ba2PrSbO6 at its relaxed geometry (PBE).

Cell: 6.103 6.071 10.533 Å, 90.00 125.27 90.00°
Fractional coordinates of all 20 atoms:
Ba  0.247  0.010  0.249
Ba  0.247  0.490  0.749
Ba  0.753  0.510  0.251
Ba  0.753  0.990  0.751
Pr  0.500  0.000  0.000
Pr  0.500  0.500  0.500
Sb  0.000  0.000  0.500
Sb  0.000  0.500  0.000
O  0.187  0.249  0.975
O  0.187  0.251  0.475
O  0.223  0.714  0.975
O  0.223  0.786  0.475
O  0.279  0.004  0.731
O  0.279  0.496  0.231
O  0.721  0.504  0.769
O  0.721  0.996  0.269
O  0.777  0.214  0.525
O  0.777  0.286  0.025
O  0.813  0.749  0.525
O  0.813  0.751  0.025

Calculated values
DFT total energy, eV/atom: -6.819
Space-group type: P2_1/c (14)